The following is a GGA-PBE calculation of a relaxed Tl2ZnTe2 crystal, from Alexandria.

Output
excess energy over the best structure of this formula in the dataset	0.000	eV/atom
crystal system	orthorhombic
density	7.02	g/cm3
E_form (uncorrected)	-0.3404	eV per atom

a = 7.176 Å, b = 13.994 Å, c = 6.869 Å
α = 90.00°, β = 90.00°, γ = 90.00°
Space group Ibam (No. 72)
Unique sites:
Tl: 0.180 0.140 0.000 [8 per cell]
Zn: 0.000 0.500 0.250 [4 per cell]
Te: 0.202 0.391 0.000 [8 per cell]

The following is a GGA-PBE calculation of a relaxed Li2YMgHg2 crystal, from Alexandria.

Output
formation energy from the elements	-2.06	eV per formula unit
density of states at the Fermi level	4.110	states/eV/cell
crystal system	trigonal
density	6.89	g/cm3

a = 4.7104 Å, b = 4.7104 Å, c = 6.6273 Å
α = 90.00°, β = 90.00°, γ = 120.00°
Space group P-3m1 (No. 164)
Unique sites:
Li: 0.3333 0.6667 0.1866 [2 per cell]
Y: 0.0000 0.0000 0.5000 [1 per cell]
Mg: 0.0000 0.0000 0.0000 [1 per cell]
Hg: 0.3333 0.6667 0.7495 [2 per cell]

The following is a GGA-PBE calculation of a relaxed Ca2Pr19Co3I36 crystal, from Alexandria.

Output
density of states at the Fermi level	32.178	states/eV/cell
crystal system	triclinic
density	4.89	g/cm3
E_form (uncorrected)	-1.2644	eV per atom

a = 10.019 Å, b = 10.068 Å, c = 26.549 Å
α = 93.60°, β = 93.62°, γ = 106.85°
Space group P-1 (No. 2)
Unique sites:
Ca: 0.167 0.167 0.333 [2 per cell]
Pr: 0.075 0.874 0.825 [2 per cell]
Pr: 0.089 0.164 0.932 [2 per cell]
Pr: 0.098 0.826 0.200 [2 per cell]
Pr: 0.241 0.166 0.733 [2 per cell]
Pr: 0.243 0.507 0.468 [2 per cell]
Pr: 0.256 0.456 0.841 [2 per cell]
Pr: 0.407 0.204 0.492 [2 per cell]
Pr: 0.422 0.500 0.601 [2 per cell]
Pr: 0.430 0.157 0.865 [2 per cell]
Pr: 0.500 0.500 0.000 [1 per cell]
Co: 0.166 0.166 0.833 [2 per cell]
Co: 0.500 0.500 0.500 [1 per cell]
I: 0.012 0.166 0.060 [2 per cell]
I: 0.037 0.489 0.190 [2 per cell]
I: 0.062 0.839 0.321 [2 per cell]
I: 0.091 0.171 0.447 [2 per cell]
I: 0.103 0.496 0.574 [2 per cell]
I: 0.135 0.830 0.706 [2 per cell]
I: 0.196 0.503 0.961 [2 per cell]
I: 0.231 0.836 0.092 [2 per cell]
I: 0.245 0.163 0.220 [2 per cell]
I: 0.273 0.495 0.346 [2 per cell]
I: 0.298 0.843 0.476 [2 per cell]
I: 0.322 0.169 0.607 [2 per cell]
I: 0.345 0.498 0.727 [2 per cell]
I: 0.368 0.821 0.858 [2 per cell]
I: 0.396 0.170 0.988 [2 per cell]
I: 0.420 0.502 0.113 [2 per cell]
I: 0.437 0.827 0.241 [2 per cell]
I: 0.469 0.164 0.373 [2 per cell]

The following is a GGA-PBE calculation of a relaxed LiMgP2 crystal, from Alexandria.

Output
formation energy from the elements	-1.25	eV per formula unit
density of states at the Fermi level	1.702	states/eV/cell
crystal system	orthorhombic
density	2.35	g/cm3

a = 3.242 Å, b = 4.042 Å, c = 10.036 Å
α = 90.00°, β = 90.00°, γ = 90.00°
Space group Imm2 (No. 44)
Unique sites:
Li: 0.000 0.000 0.000 [2 per cell]
Mg: 0.000 0.500 0.775 [2 per cell]
P: 0.000 0.000 0.507 [2 per cell]
P: 0.000 0.500 0.178 [2 per cell]

The following is a GGA-PBE calculation of a relaxed Ag2SCl6 crystal, from Alexandria.

Output
density of states at the Fermi level	9.539	states/eV/cell
crystal system	monoclinic
density	2.89	g/cm3
E_form (uncorrected)	-0.1741	eV per atom

a = 8.228 Å, b = 9.164 Å, c = 7.140 Å
α = 90.00°, β = 101.02°, γ = 90.00°
Space group P2_1/c (No. 14)
Unique sites:
Ag: 0.032 0.096 0.247 [4 per cell]
S: 0.500 0.000 0.500 [2 per cell]
Cl: 0.029 0.662 0.607 [4 per cell]
Cl: 0.230 0.027 0.556 [4 per cell]
Cl: 0.475 0.742 0.009 [4 per cell]

The following is a GGA-PBE calculation of a relaxed K2CoTc crystal, from Alexandria.

Output
formation energy from the elements	5.35	eV per formula unit
density of states at the Fermi level	5.655	states/eV/cell
excess energy over the best structure of this formula in the dataset	0.569	eV/atom
crystal system	orthorhombic
density	4.73	g/cm3

a = 3.432 Å, b = 4.245 Å, c = 11.335 Å
α = 90.00°, β = 90.00°, γ = 90.00°
Space group Cmmm (No. 65)
Unique sites:
K: 0.000 0.000 0.245 [4 per cell]
Co: 0.000 0.500 0.000 [2 per cell]
Tc: 0.000 0.500 0.500 [2 per cell]